(1)
DFT (PBE) results for an optimized crystal structure of SmPa4Mn3N12.

abc: 7.067 7.067 7.067
angles: 109.47 109.47 109.47
Fractional coordinates of all 20 atoms:
Sm  0.000  0.000  0.000
Pa  0.000  0.000  0.500
Pa  0.000  0.500  0.000
Pa  0.500  0.000  0.000
Pa  0.500  0.500  0.500
Mn  0.000  0.500  0.500
Mn  0.500  0.000  0.500
Mn  0.500  0.500  0.000
N  0.154  0.316  0.471
N  0.154  0.684  0.838
N  0.162  0.846  0.316
N  0.316  0.162  0.846
N  0.316  0.471  0.154
N  0.471  0.154  0.316
N  0.529  0.846  0.684
N  0.684  0.529  0.846
N  0.684  0.838  0.154
N  0.838  0.154  0.684
N  0.846  0.316  0.162
N  0.846  0.684  0.529

Total magnetization (μB/f.u.): 7.97
Formation energy from raw total energies (meV per atom): -771
E (eV per cell): -185.54

(2)
DFT (PBE) results for an optimized crystal structure of AcTb6Nd3Dy2.

abc: 6.277 6.277 11.988
angles: 94.99 94.99 119.98
Fractional coordinates of all 12 atoms:
Ac  0.000  0.000  0.000
Tb  0.084  0.420  0.251
Tb  0.252  0.252  0.749
Tb  0.420  0.084  0.251
Tb  0.580  0.916  0.749
Tb  0.748  0.748  0.251
Tb  0.916  0.580  0.749
Nd  0.167  0.833  0.500
Nd  0.500  0.500  0.500
Nd  0.833  0.167  0.500
Dy  0.333  0.667  0.000
Dy  0.667  0.333  0.000

Total magnetization (μB/f.u.): 0.00
E (eV per cell): -55.10
Energy relative to the elements (eV/atom): 0.02

(3)
DFT (PBE) results for an optimized crystal structure of Ac2Ga3PtRh4.

abc: 4.376 4.376 10.454
angles: 90.00 90.00 90.00
Fractional coordinates of all 10 atoms:
Ac  0.000  0.500  0.247
Ac  0.500  0.000  0.753
Ga  0.000  0.500  0.882
Ga  0.500  0.000  0.118
Ga  0.500  0.500  0.500
Pt  0.000  0.000  0.500
Rh  0.000  0.000  0.000
Rh  0.000  0.500  0.642
Rh  0.500  0.000  0.358
Rh  0.500  0.500  0.000

Total magnetization (μB/f.u.): 0.00
E (eV per cell): -60.05
Energy relative to the elements (eV/atom): -0.73

> Look up the total magnetization of the first one.

7.97 μB/f.u.

> total magnetization of number 2 (AcTb6Nd3Dy2)?

0.00 μB/f.u.